The following is a DFT calculation (PBE) of crystalline MnAl2Cd at its relaxed geometry.

Calculated values
E_tot	-17.24	eV/cell
ΔE_f	0.0821	eV/atom

Cell lengths 4.9660, 4.9660, 4.7803 Å; angles 101.68, 101.68, 34.17 degrees
Element x y z (fractional)
Mn: 0.0000 0.0000 0.0000
Al: 0.4849 0.4849 0.4595
Al: 0.7317 0.7317 0.1826
Cd: 0.2475 0.2475 0.7048



The following is a DFT calculation (PBE) of crystalline Mn2AlCd at its relaxed geometry.

Calculated values
E_tot	-22.78	eV/cell
ΔE_f	0.0530	eV/atom

Cell lengths 2.7987, 2.7987, 7.7394 Å; angles 90.00, 90.00, 90.00 degrees
Element x y z (fractional)
Mn: 0.0000 0.0000 0.2214
Mn: 0.0000 0.0000 0.7786
Al: 0.5000 0.5000 0.0000
Cd: 0.5000 0.5000 0.5000



The following is a DFT calculation (PBE) of crystalline MnAl2Cd at its relaxed geometry.

Calculated values
E_tot	-17.28	eV/cell
ΔE_f	0.0730	eV/atom

Cell lengths 4.7314, 4.7314, 5.0812 Å; angles 100.77, 100.77, 35.60 degrees
Element x y z (fractional)
Mn: 0.0000 0.0000 0.0000
Al: 0.2640 0.2640 0.7867
Al: 0.7360 0.7360 0.2133
Cd: 0.5000 0.5000 0.5000



The following is a DFT calculation (PBE) of crystalline Mn2AlCd at its relaxed geometry.

Calculated values
E_tot	-40.65	eV/cell
ΔE_f	0.6681	eV/atom

Cell lengths 9.4450, 9.4450, 9.4450 Å; angles 156.98, 156.98, 32.78 degrees
Element x y z (fractional)
Mn: 0.0266 0.6250 0.9016
Mn: 0.3750 0.2766 0.4016
Mn: 0.7234 0.1250 0.0984
Mn: 0.8750 0.9734 0.5984
Al: 0.0000 0.0000 0.0000
Al: 0.7500 0.2500 0.5000
Cd: 0.2500 0.7500 0.5000
Cd: 0.5000 0.5000 0.0000



The following is a DFT calculation (PBE) of crystalline MnAl2Cd at its relaxed geometry.

Calculated values
E_tot	-17.17	eV/cell
ΔE_f	0.0994	eV/atom

Cell lengths 9.4461, 9.4461, 9.4461 Å; angles 17.73, 17.73, 17.73 degrees
Element x y z (fractional)
Mn: 0.0000 0.0000 0.0000
Al: 0.4884 0.4884 0.4884
Al: 0.7384 0.7384 0.7384
Cd: 0.2482 0.2482 0.2482



The following is a DFT calculation (PBE) of crystalline Mn2AlCd at its relaxed geometry.

Calculated values
E_tot	-22.25	eV/cell
ΔE_f	0.1866	eV/atom

Cell lengths 5.0937, 5.0937, 5.0937 Å; angles 135.66, 135.66, 64.51 degrees
Element x y z (fractional)
Mn: 0.0000 0.0000 0.0000
Mn: 0.7500 0.2500 0.5000
Al: 0.2500 0.7500 0.5000
Cd: 0.5000 0.5000 0.0000